## Fe2IrRuN (PBE-GGA)

Data for crystalline Fe2IrRuN at its relaxed geometry.

a b c (Å): 3.889 3.889 3.945
angles (deg): 90.00 90.00 90.00
Positions (direct):
N  0.000  0.000  0.000
Fe  0.500  0.000  0.000
Fe  0.000  0.500  0.000
Ru  0.000  0.000  0.500
Ir  0.500  0.500  0.500

Calculated values
- Calculated volume: 59.7 Å³ per cell
- DOS(E_F): 6.3 states/eV/cell
- Electronic total energy: -8.540 eV per atom